VASP calculation (PBE-GGA) on a relaxed structure of K2NpInS4.

The structure in extended XYZ format:
```
16
Lattice="-4.1695 4.2232 5.9549 4.1695 -4.2232 5.9549 4.1695 4.2232 -5.9549" Properties=species:S:1:pos:R:3 pbc="T T T"
K 0.0000 0.0000 0.0000
K -2.0847 2.1116 2.9775
K 0.0000 4.2232 0.0000
K 2.0847 2.1116 2.9775
Np 2.0847 2.1116 -2.9775
Np 2.0847 -2.1116 2.9775
In 4.1695 0.0000 0.0000
In 0.0000 0.0000 5.9549
S 4.1695 -0.2862 2.8223
S 4.1695 3.9370 -2.8223
S 2.3571 2.1116 -0.2233
S 5.9818 2.1116 -0.2233
S -1.8124 2.1116 6.1783
S 1.8124 2.1116 6.1783
S 0.0000 0.2862 8.7772
S 0.0000 4.5094 3.1327
```

Values from the calculation:
**N(E_F)**: 15.12 states/eV/cell
**Total magnetic moment**: 0.465 μB/atom
**Theoretical density**: 4.4 g cm⁻³
**Total energy**: -86.21 eV/cell
**Formation energy (no corrections)**: -105.2 kJ per mole of atoms
**SG**: No. 74

VASP calculation (PBE-GGA) on a relaxed structure of NpSnSbO6.

The structure in extended XYZ format:
```
18
Lattice="5.5817 0.0000 0.0000 -2.7908 4.8339 0.0000 0.0000 0.0000 9.6902" Properties=species:S:1:pos:R:3 pbc="T T T"
Np 0.0000 3.2226 2.4226
Np 2.7908 1.6113 7.2677
Sn 0.0000 3.2226 7.2677
Sn 2.7908 1.6113 2.4226
Sb 0.0000 0.0000 0.0000
Sb 0.0000 0.0000 4.8451
O -0.9475 1.6958 6.1430
O -1.7960 3.1654 8.3923
O 0.9475 1.6958 8.3923
O -0.8485 4.8065 6.1430
O 1.9423 0.0274 1.2979
O 0.9949 1.6684 3.5472
O 1.7960 3.1654 6.1430
O 0.8485 4.8065 8.3923
O 3.6393 0.0274 3.5472
O 1.8434 3.1381 1.2979
O 4.5868 1.6684 1.2979
O 3.7383 3.1381 3.5472
```

Values from the calculation:
**N(E_F)**: 15.49 states/eV/cell
**Total magnetic moment**: 0.222 μB/atom
**Theoretical density**: 7.3 g cm⁻³
**Total energy**: -135.41 eV/cell
**Formation energy (no corrections)**: -181.0 kJ per mole of atoms
**SG**: No. 163

VASP calculation (PBE-GGA) on a relaxed structure of BaSrZn2Sn.

The structure in extended XYZ format:
```
5
Lattice="5.7342 0.0000 0.0000 0.0000 5.7342 0.0000 0.0000 0.0000 6.9985" Properties=species:S:1:pos:R:3 pbc="T T T"
Ba 0.0000 0.0000 0.0000
Sr 0.0000 0.0000 3.4993
Zn 0.0000 2.8671 0.0000
Zn 2.8671 0.0000 0.0000
Sn 2.8671 2.8671 3.4993
```

Values from the calculation:
**N(E_F)**: 5.75 states/eV/cell
**Energy of formation**: 817 meV/atom
**Total magnetic moment**: 0.000 μB/atom
**Theoretical density**: 3.4 g cm⁻³
**Total energy**: -6.07 eV/cell
**SG**: No. 123

Please write out number 1 again, unchanged.
VASP calculation (PBE-GGA) on a relaxed structure of K2NpInS4.

The structure in extended XYZ format:
```
16
Lattice="-4.1695 4.2232 5.9549 4.1695 -4.2232 5.9549 4.1695 4.2232 -5.9549" Properties=species:S:1:pos:R:3 pbc="T T T"
K 0.0000 0.0000 0.0000
K -2.0847 2.1116 2.9775
K 0.0000 4.2232 0.0000
K 2.0847 2.1116 2.9775
Np 2.0847 2.1116 -2.9775
Np 2.0847 -2.1116 2.9775
In 4.1695 0.0000 0.0000
In 0.0000 0.0000 5.9549
S 4.1695 -0.2862 2.8223
S 4.1695 3.9370 -2.8223
S 2.3571 2.1116 -0.2233
S 5.9818 2.1116 -0.2233
S -1.8124 2.1116 6.1783
S 1.8124 2.1116 6.1783
S 0.0000 0.2862 8.7772
S 0.0000 4.5094 3.1327
```

Values from the calculation:
**N(E_F)**: 15.12 states/eV/cell
**Total magnetic moment**: 0.465 μB/atom
**Theoretical density**: 4.4 g cm⁻³
**Total energy**: -86.21 eV/cell
**Formation energy (no corrections)**: -105.2 kJ per mole of atoms
**SG**: No. 74